Below is a relaxed BaMo4P2O16 crystal, with properties calculated at the PBE+U level.

a = 7.6018 Å, b = 7.6018 Å, c = 11.4406 Å
α = 90.00°, β = 90.00°, γ = 90.00°
Last column: nearest neighbours and their distance in Å.
Space group I-42m (No. 121)
Asymmetric unit:
Ba  0.0000  0.0000  0.0000 (multiplicity 2)  12 O 2.96-3.10
Mo  0.1223  0.1223  0.3721 (multiplicity 8)  1 O 1.72
P  0.0000  0.5000  0.0000 (multiplicity 4)  4 O 1.56
O  0.1133  0.3749  0.9230 (multiplicity 16)  1 P 1.56
O  0.1298  0.1298  0.5854 (multiplicity 8)  2 Mo 1.98
O  0.1405  0.1405  0.2225 (multiplicity 8)  1 Mo 1.72

Properties
size of the total moment = 0.0 μB/cell
crystal system = tetragonal
mass density = 4.215 g cm⁻³
E = -7.17 eV per atom
N(E_F) = 0.00 states/eV per atom